(1)
Density functional theory data (GGA-PBE) for an optimized crystal structure of Tb2Pm12Tl.

Unit cell a=6.6921 b=6.6921 c=23.7405 alpha=90.00 beta=90.00 gamma=90.00
With the nearest neighbours (Å) after each atom.
Space group P4/nbm (No. 125, origin choice 2)
Inequivalent atoms, fractional coordinates:
Tb  0.2500  0.7500  0.2475 x4  8 Pm 3.53-3.85
Pm  0.0048  0.5048  0.0934 x8  2 Tl 3.21-3.28, 6 Pm 3.35-3.46
Pm  0.0835  0.5835  0.5654 x8  6 Pm 3.15-3.53
Pm  0.2500  0.2500  0.1998 x4  1 Pm 3.04
Pm  0.2500  0.2500  0.3278 x4  1 Pm 3.04
Tl  0.2500  0.7500  0.0000 x2  8 Pm 3.21-3.28

Values from the calculation:
D(E_F) in states/eV/cell: 37.58
Crystal system: tetragonal
E_form in eV/atom: 0.24
Total DFT energy (no corrections) in eV/atom: -4.3352

=====

(2)
Density functional theory data (GGA-PBE) for an optimized crystal structure of TbPm4Tl.

Unit cell a=3.6598 b=3.6598 c=14.5551 alpha=90.00 beta=90.00 gamma=90.00
With the nearest neighbours (Å) after each atom.
Space group P4/mmm (No. 123)
Inequivalent atoms, fractional coordinates:
Tb  0.0000  0.0000  0.0000 x1  8 Pm 3.62, 4 Tb 3.66
Pm  0.0000  0.0000  0.3514 x2  4 Tl 3.37, 8 Pm 3.66
Pm  0.5000  0.5000  0.1739 x2  4 Tb 3.62, 8 Pm 3.66
Tl  0.5000  0.5000  0.5000 x1  8 Pm 3.37, 4 Tl 3.66

Values from the calculation:
Energy above the lowest structure with this stoichiometry in meV per atom: 0.0
D(E_F) in states/eV/cell: 8.11
Crystal system: tetragonal
E_form in eV/atom: -0.10
Total DFT energy (no corrections) in eV/atom: -4.4363

=====

(3)
Density functional theory data (GGA-PBE) for an optimized crystal structure of Tb3Pm2Tl3.

Unit cell a=4.9814 b=5.0415 c=9.2470 alpha=90.00 beta=90.00 gamma=90.00
With the nearest neighbours (Å) after each atom.
Space group Pmmm (No. 47)
Inequivalent atoms, fractional coordinates:
Tb  0.0000  0.0000  0.0000 x1  4 Pm 3.44, 4 Tb 3.53, 4 Tl 3.54
Tb  0.0000  0.5000  0.2677 x2  6 Tl 3.29-3.51, 2 Tb 3.53, 4 Pm 3.54
Pm  0.5000  0.0000  0.2574 x2  6 Tl 3.35-3.47, 6 Tb 3.44-3.54
Tl  0.0000  0.0000  0.5000 x1  4 Tb 3.31, 4 Pm 3.35, 4 Tl 3.54
Tl  0.5000  0.5000  0.0000 x1  4 Pm 3.47, 8 Tb 3.51-3.54
Tl  0.5000  0.5000  0.5000 x1  4 Tb 3.29, 4 Pm 3.37, 4 Tl 3.54

Values from the calculation:
Energy above the lowest structure with this stoichiometry in meV per atom: 7.2
D(E_F) in states/eV/cell: 9.80
Crystal system: orthorhombic
E_form in eV/atom: -0.25
Total DFT energy (no corrections) in eV/atom: -4.0614

=====

(4)
Density functional theory data (GGA-PBE) for an optimized crystal structure of Tb8Pm2Tl.

Unit cell a=5.4714 b=7.6175 c=17.2677 alpha=90.00 beta=90.00 gamma=90.00
With the nearest neighbours (Å) after each atom.
Space group Immm (No. 71)
Inequivalent atoms, fractional coordinates:
Tb  0.0000  0.0000  0.1799 x4  8 Tb 3.50-3.69, 4 Pm 3.51-3.82
Tb  0.0000  0.2297  0.3632 x8  1 Tl 3.13, 2 Pm 3.39, 3 Tb 3.50
Tb  0.0000  0.2606  0.0000 x4  2 Tl 3.38, 7 Tb 3.62-3.69
Pm  0.0000  0.5000  0.1930 x4  8 Tb 3.39-3.59
Tl  0.0000  0.5000  0.5000 x2  8 Tb 3.13-3.38

Values from the calculation:
Energy above the lowest structure with this stoichiometry in meV per atom: 59.6
D(E_F) in states/eV/cell: 27.89
Crystal system: orthorhombic
E_form in eV/atom: 0.02
Total DFT energy (no corrections) in eV/atom: -4.4216

=====

(5)
Density functional theory data (GGA-PBE) for an optimized crystal structure of Tb8Pm2Tl.

Unit cell a=18.1212 b=4.9819 c=7.9404 alpha=90.00 beta=105.41 gamma=90.00
With the nearest neighbours (Å) after each atom.
Space group C2/m (No. 12)
Inequivalent atoms, fractional coordinates:
Tb  0.0445  0.0000  0.2231 x4  1 Pm 3.48, 9 Tb 3.48-3.57, 2 Tl 3.55
Tb  0.0892  0.5000  0.9436 x4  1 Tl 3.46, 8 Tb 3.48-3.62, 3 Pm 3.52-3.63
Tb  0.1346  0.0000  0.6760 x4  2 Tl 3.51, 7 Tb 3.51-3.59, 3 Pm 3.57-3.62
Tb  0.1803  0.5000  0.4091 x4  8 Tb 3.51-3.62, 3 Pm 3.52-3.58, 1 Tl 3.53
Pm  0.2226  0.0000  0.1354 x4  10 Tb 3.48-3.63, 2 Pm 3.60
Tl  0.0000  0.5000  0.5000 x2  12 Tb 3.46-3.55

Values from the calculation:
Energy above the lowest structure with this stoichiometry in meV per atom: 0.0
D(E_F) in states/eV/cell: 29.33
Crystal system: monoclinic
E_form in eV/atom: -0.03
Total DFT energy (no corrections) in eV/atom: -4.4813

=====

(6)
Density functional theory data (GGA-PBE) for an optimized crystal structure of Tb4PmTl2.

Unit cell a=5.1543 b=5.1543 c=31.0981 alpha=90.00 beta=90.00 gamma=120.00
With the nearest neighbours (Å) after each atom.
Space group R-3m (No. 166, hexagonal axes)
Inequivalent atoms, fractional coordinates:
Tb  0.0000  0.0000  0.1102 x6  3 Tl 3.29, 3 Pm 3.45
Tb  0.0000  0.0000  0.2947 x6  4 Tl 3.09-3.22
Pm  0.0000  0.0000  0.5000 x3  2 Tl 3.16, 6 Tb 3.45
Tl  0.0000  0.0000  0.3984 x6  7 Tb 3.09-3.29, 1 Pm 3.16

Values from the calculation:
Energy above the lowest structure with this stoichiometry in meV per atom: 19.8
D(E_F) in states/eV/cell: 27.74
Crystal system: trigonal
E_form in eV/atom: 0.09
Total DFT energy (no corrections) in eV/atom: -3.9124